Material: Ac2DySb3Ir4
Method: DFT, PBE-GGA
State: optimized geometry

CIF file:
```
data_Ac2DySb3Ir4
_cell_length_a 4.478
_cell_length_b 4.478
_cell_length_c 11.635
_cell_angle_alpha 90.00
_cell_angle_beta 90.00
_cell_angle_gamma 90.00
_space_group_name_H-M_alt 'P -4 m 2'
_space_group_IT_number 115
_space_group_name_Hall 'P -4 -2'
loop_
_atom_site_label
_atom_site_fract_x
_atom_site_fract_y
_atom_site_fract_z
_atom_site_occupancy
Ac1 0.000 0.500 0.239 1
Dy1 0.000 0.000 0.500 1
Sb1 0.000 0.500 0.872 1
Sb2 0.500 0.500 0.500 1
Ir1 0.000 0.000 0.000 1
Ir2 0.000 0.500 0.646 1
Ir3 0.500 0.500 0.000 1
```

Computed properties:
- ΔE_f (raw) (kJ/mol of atoms) = -67.7
- E (eV per atom) = -6.76